No. 1
# BaUMnN4

A relaxed structure of BaUMnN4 (PBE-GGA, Alexandria via LeMat-Bulk).

```
BaUMnN4
1.0
-0.102 3.333 -4.607
-1.578 -4.345 -3.109
-6.794 0.204 3.164
Ba U Mn N
2 2 2 8
direct
0.704 0.750 0.920
0.296 0.250 0.080
0.772 0.750 0.445
0.228 0.250 0.555
0.230 0.750 0.330
0.770 0.250 0.670
0.978 0.491 0.683
0.022 0.991 0.317
0.022 0.509 0.317
0.978 0.009 0.683
0.449 0.750 0.196
0.551 0.250 0.804
0.450 0.750 0.553
0.550 0.250 0.447
```

Values from the calculation:
Uncorrected formation energy (meV/atom): -789
Energy (eV per cell): -122.41
Crystal system: monoclinic

No. 2
# CsNa2RhPb

A relaxed structure of CsNa2RhPb (PBE-GGA, Alexandria via LeMat-Bulk).

```
CsNa2RhPb
1.0
-0.425 -5.555 -1.534
5.762 -0.381 -0.217
0.097 -1.393 5.019
Pb Cs Rh Na
1 1 1 2
direct
0.000 0.000 0.500
0.500 0.500 0.500
0.000 0.000 0.000
0.000 0.500 0.000
0.500 0.000 0.000
```

Values from the calculation:
DFT formation energy (eV/atom): 0.033
Energy (eV per cell): -14.39
Crystal system: tetragonal